The following is a PBE calculation of a relaxed structure of ErThMgIn, from Alexandria.

* crystal system: cubic

CIF file:
```
data_ErThMgIn
_chemical_formula_sum 'Er4 Th4 Mg4 In4'
_cell_length_a 7.599
_cell_length_b 7.599
_cell_length_c 7.599
_cell_angle_alpha 90.00
_cell_angle_beta 90.00
_cell_angle_gamma 90.00
_space_group_name_H-M_alt 'F -4 3 m'
_space_group_IT_number 216
_space_group_name_Hall 'F -4 2 3'
loop_
_atom_site_label
_atom_site_type_symbol
_atom_site_fract_x
_atom_site_fract_y
_atom_site_fract_z
_atom_site_occupancy
Er1 Er 0.000 0.000 0.000 1
Th1 Th 0.000 0.000 0.500 1
Mg1 Mg 0.250 0.250 0.750 1
In1 In 0.250 0.250 0.250 1
```

The following is a PBE calculation of a relaxed structure of ErMgTiIn, from Alexandria.

* crystal system: cubic

CIF file:
```
data_ErMgTiIn
_chemical_formula_sum 'Er4 Mg4 Ti4 In4'
_cell_length_a 7.100
_cell_length_b 7.100
_cell_length_c 7.100
_cell_angle_alpha 90.00
_cell_angle_beta 90.00
_cell_angle_gamma 90.00
_space_group_name_H-M_alt 'F -4 3 m'
_space_group_IT_number 216
_space_group_name_Hall 'F -4 2 3'
loop_
_atom_site_label
_atom_site_type_symbol
_atom_site_fract_x
_atom_site_fract_y
_atom_site_fract_z
_atom_site_occupancy
Er1 Er 0.000 0.000 0.000 1
Mg1 Mg 0.250 0.250 0.750 1
Ti1 Ti 0.000 0.000 0.500 1
In1 In 0.250 0.250 0.250 1
```

The following is a PBE calculation of a relaxed structure of ErTmMgIn, from Alexandria.

* crystal system: cubic

CIF file:
```
data_ErTmMgIn
_chemical_formula_sum 'Er4 Tm4 Mg4 In4'
_cell_length_a 7.436
_cell_length_b 7.436
_cell_length_c 7.436
_cell_angle_alpha 90.00
_cell_angle_beta 90.00
_cell_angle_gamma 90.00
_space_group_name_H-M_alt 'F -4 3 m'
_space_group_IT_number 216
_space_group_name_Hall 'F -4 2 3'
loop_
_atom_site_label
_atom_site_type_symbol
_atom_site_fract_x
_atom_site_fract_y
_atom_site_fract_z
_atom_site_occupancy
Er1 Er 0.000 0.000 0.000 1
Tm1 Tm 0.000 0.000 0.500 1
Mg1 Mg 0.250 0.250 0.750 1
In1 In 0.250 0.250 0.250 1
```

The following is a PBE calculation of a relaxed structure of YErMgIn, from Alexandria.

* crystal system: cubic

CIF file:
```
data_YErMgIn
_chemical_formula_sum 'Y4 Er4 Mg4 In4'
_cell_length_a 7.488
_cell_length_b 7.488
_cell_length_c 7.488
_cell_angle_alpha 90.00
_cell_angle_beta 90.00
_cell_angle_gamma 90.00
_space_group_name_H-M_alt 'F -4 3 m'
_space_group_IT_number 216
_space_group_name_Hall 'F -4 2 3'
loop_
_atom_site_label
_atom_site_type_symbol
_atom_site_fract_x
_atom_site_fract_y
_atom_site_fract_z
_atom_site_occupancy
Y1 Y 0.000 0.000 0.000 1
Er1 Er 0.000 0.000 0.500 1
Mg1 Mg 0.250 0.250 0.250 1
In1 In 0.250 0.250 0.750 1
```

The following is a PBE calculation of a relaxed structure of ErMgZrIn, from Alexandria.

* crystal system: cubic

CIF file:
```
data_ErMgZrIn
_chemical_formula_sum 'Er4 Mg4 Zr4 In4'
_cell_length_a 7.236
_cell_length_b 7.236
_cell_length_c 7.236
_cell_angle_alpha 90.00
_cell_angle_beta 90.00
_cell_angle_gamma 90.00
_space_group_name_H-M_alt 'F -4 3 m'
_space_group_IT_number 216
_space_group_name_Hall 'F -4 2 3'
loop_
_atom_site_label
_atom_site_type_symbol
_atom_site_fract_x
_atom_site_fract_y
_atom_site_fract_z
_atom_site_occupancy
Er1 Er 0.000 0.000 0.000 1
Mg1 Mg 0.250 0.250 0.250 1
Zr1 Zr 0.000 0.000 0.500 1
In1 In 0.250 0.250 0.750 1
```

The following is a PBE calculation of a relaxed structure of ErMnIn2, from Alexandria.

* crystal system: tetragonal

CIF file:
```
data_ErMnIn2
_chemical_formula_sum 'Er1 Mn1 In2'
_cell_length_a 4.487
_cell_length_b 4.487
_cell_length_c 4.443
_cell_angle_alpha 90.00
_cell_angle_beta 90.00
_cell_angle_gamma 90.00
_space_group_name_H-M_alt 'P 4/m m m'
_space_group_IT_number 123
_space_group_name_Hall '-P 4 2'
loop_
_atom_site_label
_atom_site_type_symbol
_atom_site_fract_x
_atom_site_fract_y
_atom_site_fract_z
_atom_site_occupancy
Er1 Er 0.000 0.000 0.000 1
Mn1 Mn 0.500 0.500 0.000 1
In1 In 0.000 0.500 0.500 1
```

Calculated ΔE_f, -173; -67; -296; -328; -170; -117 meV/atom (same order as the records).